No. 1
# HfCrC3 | the Alexandria database | PBE | relaxed
data_HfCrC3
_cell_length_a 4.1842
_cell_length_b 4.1842
_cell_length_c 4.1842
_cell_angle_alpha 90.00
_cell_angle_beta 90.00
_cell_angle_gamma 90.00
_symmetry_space_group_name_H-M 'P 1'
_symmetry_Int_Tables_number 1
loop_
_symmetry_equiv_pos_as_xyz
'x,y,z'
loop_
_atom_site_label
_atom_site_fract_x
_atom_site_fract_y
_atom_site_fract_z
Hf1 0.0000 0.0000 0.0000
Cr1 0.5000 0.5000 0.5000
C1 0.0000 0.0000 0.5000
C2 0.0000 0.5000 0.0000
C3 0.5000 0.0000 0.0000
# - Calculated total energy: -6.9933 eV/atom
# - Space group: Pm-3m
# - Spin magnetization: 0.47 μB per formula unit

***

No. 2
# Hf2Cr2C3 | the Alexandria database | PBE | relaxed
data_Hf2Cr2C3
_cell_length_a 5.5969
_cell_length_b 5.5969
_cell_length_c 5.2303
_cell_angle_alpha 109.66
_cell_angle_beta 109.66
_cell_angle_gamma 32.26
_symmetry_space_group_name_H-M 'P 1'
_symmetry_Int_Tables_number 1
loop_
_symmetry_equiv_pos_as_xyz
'x,y,z'
loop_
_atom_site_label
_atom_site_fract_x
_atom_site_fract_y
_atom_site_fract_z
Hf1 0.1099 0.1099 0.3326
Hf2 0.8901 0.8901 0.6674
Cr1 0.3445 0.3445 0.1656
Cr2 0.6555 0.6555 0.8344
C1 0.2555 0.2555 0.7635
C2 0.5000 0.5000 0.5000
C3 0.7445 0.7445 0.2365
# - Calculated total energy: -10.1027 eV/atom
# - Space group: C2/m
# - Spin magnetization: 0.00 μB per formula unit

***

No. 3
# Hf3CrC | the Alexandria database | PBE | relaxed
data_Hf3CrC
_cell_length_a 4.4348
_cell_length_b 4.4348
_cell_length_c 4.4348
_cell_angle_alpha 90.00
_cell_angle_beta 90.00
_cell_angle_gamma 90.00
_symmetry_space_group_name_H-M 'P 1'
_symmetry_Int_Tables_number 1
loop_
_symmetry_equiv_pos_as_xyz
'x,y,z'
loop_
_atom_site_label
_atom_site_fract_x
_atom_site_fract_y
_atom_site_fract_z
Hf1 0.0000 0.0000 0.5000
Hf2 0.0000 0.5000 0.0000
Hf3 0.5000 0.0000 0.0000
Cr1 0.5000 0.5000 0.5000
C1 0.0000 0.0000 0.0000
# - Calculated total energy: -9.7874 eV/atom
# - Space group: Pm-3m
# - Spin magnetization: 0.00 μB per formula unit

***

No. 4
# HfCr3C | the Alexandria database | PBE | relaxed
data_HfCr3C
_cell_length_a 3.9645
_cell_length_b 3.9645
_cell_length_c 3.9645
_cell_angle_alpha 90.00
_cell_angle_beta 90.00
_cell_angle_gamma 90.00
_symmetry_space_group_name_H-M 'P 1'
_symmetry_Int_Tables_number 1
loop_
_symmetry_equiv_pos_as_xyz
'x,y,z'
loop_
_atom_site_label
_atom_site_fract_x
_atom_site_fract_y
_atom_site_fract_z
Hf1 0.0000 0.0000 0.0000
Cr1 0.0000 0.5000 0.5000
Cr2 0.5000 0.0000 0.5000
Cr3 0.5000 0.5000 0.0000
C1 0.5000 0.5000 0.5000
# - Calculated total energy: -9.5909 eV/atom
# - Space group: Pm-3m
# - Spin magnetization: 1.33 μB per formula unit

***

No. 5
# HfCr2HgC | the Alexandria database | PBE | relaxed
data_HfCr2HgC
_cell_length_a 5.1670
_cell_length_b 5.1670
_cell_length_c 3.8751
_cell_angle_alpha 90.00
_cell_angle_beta 90.00
_cell_angle_gamma 90.00
_symmetry_space_group_name_H-M 'P 1'
_symmetry_Int_Tables_number 1
loop_
_symmetry_equiv_pos_as_xyz
'x,y,z'
loop_
_atom_site_label
_atom_site_fract_x
_atom_site_fract_y
_atom_site_fract_z
Hf1 0.0000 0.0000 0.0000
Cr1 0.0000 0.5000 0.5000
Cr2 0.5000 0.0000 0.5000
Hg1 0.5000 0.5000 0.5000
C1 0.5000 0.5000 0.0000
# - Calculated total energy: -5.7081 eV/atom
# - Space group: P4/mmm
# - Spin magnetization: 6.81 μB per formula unit

***

No. 6
# HfCrOsC2 | the Alexandria database | PBE | relaxed
data_HfCrOsC2
_cell_length_a 3.9533
_cell_length_b 3.9533
_cell_length_c 5.3341
_cell_angle_alpha 90.00
_cell_angle_beta 90.00
_cell_angle_gamma 90.00
_symmetry_space_group_name_H-M 'P 1'
_symmetry_Int_Tables_number 1
loop_
_symmetry_equiv_pos_as_xyz
'x,y,z'
loop_
_atom_site_label
_atom_site_fract_x
_atom_site_fract_y
_atom_site_fract_z
Hf1 0.0000 0.0000 0.0000
Cr1 0.5000 0.5000 0.0000
Os1 0.0000 0.0000 0.5000
C1 0.0000 0.5000 0.5000
C2 0.5000 0.0000 0.5000
# - Calculated total energy: -8.3348 eV/atom
# - Space group: P4/mmm
# - Spin magnetization: 3.46 μB per formula unit

***

No. 7
# HfCr2PC | the Alexandria database | PBE | relaxed
data_HfCr2PC
_cell_length_a 5.4934
_cell_length_b 5.4934
_cell_length_c 6.8111
_cell_angle_alpha 90.00
_cell_angle_beta 90.00
_cell_angle_gamma 142.80
_symmetry_space_group_name_H-M 'P 1'
_symmetry_Int_Tables_number 1
loop_
_symmetry_equiv_pos_as_xyz
'x,y,z'
loop_
_atom_site_label
_atom_site_fract_x
_atom_site_fract_y
_atom_site_fract_z
Hf1 0.0384 0.9616 0.7500
Hf2 0.9616 0.0384 0.2500
Cr1 0.3255 0.6745 0.5600
Cr2 0.3255 0.6745 0.9400
Cr3 0.6745 0.3255 0.0600
Cr4 0.6745 0.3255 0.4400
P1 0.2410 0.7590 0.2500
P2 0.7590 0.2410 0.7500
C1 0.5000 0.5000 0.0000
C2 0.5000 0.5000 0.5000
# - Calculated total energy: -9.3431 eV/atom
# - Space group: Cmcm
# - Spin magnetization: 0.00 μB per formula unit

***

No. 8
# HfCrP2C | the Alexandria database | PBE | relaxed
data_HfCrP2C
_cell_length_a 4.9676
_cell_length_b 4.9676
_cell_length_c 4.2404
_cell_angle_alpha 90.00
_cell_angle_beta 90.00
_cell_angle_gamma 90.00
_symmetry_space_group_name_H-M 'P 1'
_symmetry_Int_Tables_number 1
loop_
_symmetry_equiv_pos_as_xyz
'x,y,z'
loop_
_atom_site_label
_atom_site_fract_x
_atom_site_fract_y
_atom_site_fract_z
Hf1 0.0000 0.0000 0.0000
Cr1 0.5000 0.5000 0.5000
P1 0.0000 0.5000 0.0000
P2 0.5000 0.0000 0.0000
C1 0.0000 0.0000 0.5000
# - Calculated total energy: -6.8484 eV/atom
# - Space group: P4/mmm
# - Spin magnetization: 4.06 μB per formula unit

***

- What is the formula in the third record?
  Hf3CrC

***

- Look up the spin magnetization of the eighth one.
  4.06 μB per formula unit